Record 1
# GGA-PBE ReTcMoAs2, relaxed
data_ReTcMoAs2
_space_group_name_H-M_alt 'P 4/m m m'
_space_group_IT_number 123
_space_group_name_Hall '-P 4 2'
_cell_length_a 4.677
_cell_length_b 4.677
_cell_length_c 4.817
_cell_angle_alpha 90.00
_cell_angle_beta 90.00
_cell_angle_gamma 90.00
loop_
_atom_site_label
_atom_site_type_symbol
_atom_site_fract_x
_atom_site_fract_y
_atom_site_fract_z
Re1 Re 0.000 0.000 0.000
Tc1 Tc 0.000 0.000 0.500
Mo1 Mo 0.500 0.500 0.000
As1 As 0.000 0.500 0.500
# Total DFT energy (no corrections) ... -7.051 eV per atom
# Calculated volume ... 105.35 Å³ per cell

---

Record 2
# GGA-PBE AcYPu4, relaxed
data_AcYPu4
_space_group_name_H-M_alt 'F -4 3 m'
_space_group_IT_number 216
_space_group_name_Hall 'F -4 2 3'
_cell_length_a 8.956
_cell_length_b 8.956
_cell_length_c 8.956
_cell_angle_alpha 90.00
_cell_angle_beta 90.00
_cell_angle_gamma 90.00
loop_
_atom_site_label
_atom_site_type_symbol
_atom_site_fract_x
_atom_site_fract_y
_atom_site_fract_z
Ac1 Ac 0.000 0.000 0.000
Y1 Y 0.250 0.250 0.750
Pu1 Pu 0.125 0.125 0.375
# Total DFT energy (no corrections) ... -11.070 eV per atom
# Calculated volume ... 718.43 Å³ per cell

---

Record 3
# GGA-PBE Ta2Ti5Sn, relaxed
data_Ta2Ti5Sn
_space_group_name_H-M_alt 'I 4/m c m'
_space_group_IT_number 140
_space_group_name_Hall '-I 4 2c'
_cell_length_a 7.113
_cell_length_b 7.113
_cell_length_c 11.495
_cell_angle_alpha 90.00
_cell_angle_beta 90.00
_cell_angle_gamma 90.00
loop_
_atom_site_label
_atom_site_type_symbol
_atom_site_fract_x
_atom_site_fract_y
_atom_site_fract_z
Ta1 Ta 0.157 0.343 0.000
Ti1 Ti 0.000 0.000 0.000
Ti2 Ti 0.145 0.355 0.341
Sn1 Sn 0.000 0.000 0.250
# Total DFT energy (no corrections) ... -8.329 eV per atom
# Calculated volume ... 581.68 Å³ per cell

---

Number 1: calculated density 8.354 g cm⁻³. Number 2: calculated density 11.944 g cm⁻³. Number 3: calculated density 8.221 g cm⁻³.